This record from Alexandria via LeMat-Bulk describes an optimized crystal structure of Sm2CrCdO6. The functional is PBE+U.

a b c (Å): 5.3686 5.3686 5.1185
angles (deg): 90.00 90.00 90.00
Space group P4mm (No. 99)
Asymmetric unit:
Sm  0.0000  0.5000  0.0000
Cr  0.0000  0.0000  0.6079
Cd  0.5000  0.5000  0.5477
O  0.0000  0.0000  0.2516
O  0.2338  0.2338  0.7425
O  0.5000  0.5000  0.1354

Summary:
- spin magnetization (μB per cell) = 2.00
- energy (eV per atom) = -6.98